*w*
DFT (GGA-PBE) results for a geometry-optimized Sm2Os2O5 structure.

a = 9.610 Å, b = 3.564 Å, c = 3.564 Å
α = 90.00°, β = 90.00°, γ = 90.00°
Fractional positions:
Os1 0.000 0.000 0.000
Os2 0.500 0.000 0.000
O1 0.880 0.000 0.500
O2 0.120 0.000 0.500
O3 0.120 0.500 0.000
O4 0.500 0.500 0.500
O5 0.880 0.500 0.000
Sm1 0.735 0.500 0.500
Sm2 0.265 0.500 0.500

Symmetry: No. 123

***

*x*
DFT (GGA-PBE) results for a geometry-optimized Sm2Os2O5 structure.

a = 6.999 Å, b = 3.957 Å, c = 3.957 Å
α = 90.00°, β = 90.00°, γ = 90.00°
Fractional positions:
Sm1 0.500 0.000 0.000
Sm2 0.000 0.000 0.000
O1 0.500 0.500 0.500
O2 0.762 0.500 0.000
O3 0.238 0.000 0.500
O4 0.762 0.000 0.500
O5 0.238 0.500 0.000
Os1 0.811 0.500 0.500
Os2 0.189 0.500 0.500

Symmetry: No. 123

***

Which structure is the least stable? The one labeled *w*.

***

*w*
DFT (GGA-PBE) results for a geometry-optimized Sr2OsO4 structure.

a = 6.833 Å, b = 6.833 Å, c = 6.833 Å
α = 119.99°, β = 90.01°, γ = 119.99°
Fractional positions:
O1 0.635 0.269 0.904
O2 0.654 0.769 0.885
O3 0.635 0.269 0.365
O4 0.115 0.231 0.885
O5 0.096 0.731 0.365
O6 0.115 0.231 0.346
O7 0.115 0.769 0.885
O8 0.635 0.731 0.365
Os1 0.750 0.500 0.250
Os2 0.000 0.000 0.000
Sr1 0.375 0.750 0.625
Sr2 0.875 0.250 0.625
Sr3 0.375 0.750 0.125
Sr4 0.375 0.250 0.625

Symmetry: No. 227

***

*x*
DFT (GGA-PBE) results for a geometry-optimized Sr2OsO4 structure.

a = 6.953 Å, b = 6.953 Å, c = 5.506 Å
α = 90.00°, β = 90.00°, γ = 133.48°
Fractional positions:
Sr1 0.648 0.352 0.498
Sr2 0.352 0.648 0.502
Sr3 0.852 0.148 0.998
Sr4 0.148 0.852 0.002
O1 0.164 0.836 0.493
O2 0.252 0.248 0.750
O3 0.336 0.664 0.993
O4 0.752 0.748 0.750
O5 0.748 0.752 0.250
O6 0.836 0.164 0.507
O7 0.664 0.336 0.007
O8 0.248 0.252 0.250
Os1 0.500 0.500 0.000
Os2 0.000 0.000 0.500

Symmetry: No. 64

***

Which structure is the least stable? The one labeled *w*.